(1)
A geometry-optimized Ba5BiI4 structure. Source: Alexandria, functional GGA-PBE.

Cell: 7.080 8.681 8.698 Å, 80.69 66.21 66.13°
Fractional coordinates of all 10 atoms:
Ba1 0.899 0.390 0.812
Ba2 0.289 0.812 0.610
Ba3 0.713 0.188 0.390
Ba4 0.103 0.610 0.188
Ba5 0.501 0.000 0.000
Bi1 0.001 0.000 0.000
I1 0.403 0.401 0.793
I2 0.805 0.792 0.598
I3 0.197 0.208 0.402
I4 0.599 0.599 0.207

Summary:
The value obtained for the total energy is -0.121 hartree per atom. The density of states at the Fermi level is 6.8 states/eV/cell. The space group is P-1, No. 2.

=====

(2)
A geometry-optimized Li6PmIn2 structure. Source: Alexandria, functional GGA-PBE.

Cell: 4.403 4.403 10.264 Å, 90.00 90.00 90.00°
Fractional coordinates of all 9 atoms:
Li1 0.000 0.500 0.303
Li2 0.500 0.000 0.303
Li3 0.000 0.500 0.697
Li4 0.500 0.000 0.697
Li5 0.500 0.500 0.500
Li6 0.000 0.000 0.500
Pm1 0.000 0.000 0.000
In1 0.500 0.500 0.139
In2 0.500 0.500 0.861

Summary:
The calculation puts the energy relative to the elements at -0.1587 eV/atom. The value obtained for the total energy is -0.094 hartree per atom. The density of states at the Fermi level is 5.5 states/eV/cell. The space group is P4/mmm, No. 123.

=====

(3)
A geometry-optimized Zr2InNi structure. Source: Alexandria, functional GGA-PBE.

Cell: 5.499 5.499 5.499 Å, 136.27 136.27 63.56°
Fractional coordinates of all 4 atoms:
In1 0.500 0.500 0.000
Ni1 0.750 0.250 0.500
Zr1 0.000 0.000 0.000
Zr2 0.250 0.750 0.500

Summary:
The calculation puts the energy relative to the elements at -0.1324 eV/atom. The value obtained for the total energy is -0.240 hartree per atom. The density of states at the Fermi level is 4.7 states/eV/cell. The space group is I-4m2, No. 119.

=====

(4)
A geometry-optimized BiAuO2F structure. Source: Alexandria, functional GGA-PBE.

Cell: 4.229 4.229 4.323 Å, 90.00 90.00 90.00°
Fractional coordinates of all 5 atoms:
Au1 0.000 0.000 0.000
Bi1 0.500 0.500 0.500
O1 0.000 0.500 0.000
O2 0.500 0.000 0.000
F1 0.000 0.000 0.500

Summary:
The value obtained for the total energy is -0.148 hartree per atom. The density of states at the Fermi level is 1.9 states/eV/cell. The space group is P4/mmm, No. 123.

=====

(5)
A geometry-optimized EuErCu4 structure. Source: Alexandria, functional GGA-PBE.

Cell: 5.296 5.296 5.296 Å, 60.00 60.00 60.00°
Site moments in Bohr magnetons follow the coordinates.
Fractional coordinates of all 6 atoms:
Eu1 0.000 0.000 0.000  -6.76
Cu1 0.624 0.624 0.127  0.00
Cu2 0.624 0.127 0.624  0.00
Cu3 0.624 0.624 0.624  0.00
Cu4 0.127 0.624 0.624  0.00
Er1 0.250 0.250 0.250  -0.11

Summary:
The calculation puts the energy relative to the elements at -0.1004 eV/atom. The value obtained for the total energy is -0.195 hartree per atom. The density of states at the Fermi level is 6.3 states/eV/cell. The space group is F-43m, No. 216.

=====

(6)
A geometry-optimized Y3TePtCl structure. Source: Alexandria, functional GGA-PBE.

Cell: 4.140 8.533 9.807 Å, 96.22 90.00 90.00°
Fractional coordinates of all 12 atoms:
Y1 0.750 0.809 0.120
Y2 0.250 0.191 0.880
Y3 0.250 0.648 0.403
Y4 0.750 0.352 0.597
Y5 0.750 0.368 0.182
Y6 0.250 0.632 0.818
Te1 0.250 0.093 0.182
Te2 0.750 0.907 0.818
Pt1 0.250 0.573 0.111
Pt2 0.750 0.427 0.889
Cl1 0.250 0.146 0.586
Cl2 0.750 0.854 0.414

Summary:
The value obtained for the total energy is -0.233 hartree per atom. The density of states at the Fermi level is 8.0 states/eV/cell. The space group is P2_1/m, No. 11.

=====

(7)
A geometry-optimized CoSe5 structure. Source: Alexandria, functional GGA-PBE.

Cell: 7.078 7.078 5.353 Å, 90.00 90.00 150.34°
Fractional coordinates of all 6 atoms:
Co1 0.056 0.944 0.000
Se1 0.696 0.304 0.500
Se2 0.671 0.329 0.000
Se3 0.415 0.585 0.500
Se4 0.440 0.560 0.000
Se5 0.056 0.944 0.500

Summary:
The value obtained for the total energy is -0.151 hartree per atom. The density of states at the Fermi level is 4.0 states/eV/cell. The space group is Cmmm, No. 65.

=====

(8)
A geometry-optimized AgIrOs2 structure. Source: Alexandria, functional GGA-PBE.

Cell: 5.724 5.724 5.724 Å, 152.44 132.78 55.54°
Fractional coordinates of all 4 atoms:
Ir1 0.250 0.750 0.500
Os1 0.030 0.030 0.000
Os2 0.470 0.470 0.000
Ag1 0.750 0.250 0.500

Summary:
The calculation puts the energy relative to the elements at 0.5831 eV/atom. The value obtained for the total energy is -0.293 hartree per atom. As for the polymorph energy (0 for the lowest one): 308 meV/atom. The density of states at the Fermi level is 3.4 states/eV/cell. The space group is Immm, No. 71.